<w>
Density functional theory data (PBE) for an optimized crystal structure of YBeCl2.

Geometry as CIF:
```
data_YBeCl2
_chemical_formula_sum 'Y2 Be2 Cl4'
_symmetry_space_group_name_H-M 'C m m m'
_symmetry_Int_Tables_number 65
_symmetry_space_group_name_Hall '-C 2 2'
_cell_length_a 3.680
_cell_length_b 6.351
_cell_length_c 10.799
_cell_angle_alpha 90.00
_cell_angle_beta 90.00
_cell_angle_gamma 90.00
loop_
_atom_site_label
_atom_site_type_symbol
_atom_site_fract_x
_atom_site_fract_y
_atom_site_fract_z
Y1 Y 0.000 0.000 0.000
Be1 Be 0.000 0.000 0.500
Cl1 Cl 0.000 0.500 0.179
```

## Properties
M_tot   0.08 μB per formula unit

=====

<x>
Density functional theory data (PBE) for an optimized crystal structure of YBeCl2.

Geometry as CIF:
```
data_YBeCl2
_chemical_formula_sum 'Y2 Be2 Cl4'
_symmetry_space_group_name_H-M 'C m m 2'
_symmetry_Int_Tables_number 35
_symmetry_space_group_name_Hall 'C 2 -2'
_cell_length_a 3.649
_cell_length_b 6.184
_cell_length_c 8.684
_cell_angle_alpha 90.00
_cell_angle_beta 90.00
_cell_angle_gamma 90.00
loop_
_atom_site_label
_atom_site_type_symbol
_atom_site_fract_x
_atom_site_fract_y
_atom_site_fract_z
Y1 Y 0.000 0.000 0.000
Be1 Be 0.000 0.500 0.767
Cl1 Cl 0.000 0.000 0.641
Cl2 Cl 0.000 0.500 0.226
```

## Properties
M_tot   0.00 μB per formula unit

=====

Most favorable structure: <x>. The second most favorable one is 438 meV per atom above it.

=====

<w>
Density functional theory data (PBE) for an optimized crystal structure of YBeCl2.

Geometry as CIF:
```
data_YBeCl2
_chemical_formula_sum 'Y2 Be2 Cl4'
_symmetry_space_group_name_H-M 'C 1 2/m 1'
_symmetry_Int_Tables_number 12
_symmetry_space_group_name_Hall '-C 2y'
_cell_length_a 14.658
_cell_length_b 3.689
_cell_length_c 4.616
_cell_angle_alpha 90.00
_cell_angle_beta 108.10
_cell_angle_gamma 90.00
loop_
_atom_site_label
_atom_site_type_symbol
_atom_site_fract_x
_atom_site_fract_y
_atom_site_fract_z
Y1 Y 0.000 0.000 0.000
Be1 Be 0.000 0.500 0.500
Cl1 Cl 0.141 0.500 0.140
```

## Properties
M_tot   0.00 μB per formula unit

=====

<x>
Density functional theory data (PBE) for an optimized crystal structure of YBeCl2.

Geometry as CIF:
```
data_YBeCl2
_chemical_formula_sum 'Y3 Be3 Cl6'
_symmetry_space_group_name_H-M 'R -3 m'
_symmetry_Int_Tables_number 166
_symmetry_space_group_name_Hall '-R 3 2"'
_cell_length_a 3.5865
_cell_length_b 3.5865
_cell_length_c 31.1790
_cell_angle_alpha 90.00
_cell_angle_beta 90.00
_cell_angle_gamma 120.00
loop_
_atom_site_label
_atom_site_type_symbol
_atom_site_fract_x
_atom_site_fract_y
_atom_site_fract_z
Y1 Y 0.0000 0.0000 0.0000
Be1 Be 0.0000 0.0000 0.5000
Cl1 Cl 0.0000 0.0000 0.2764
```

## Properties
M_tot   0.48 μB per formula unit

=====

Most favorable structure: <w>. The second most favorable one is 167 meV per atom above it.